Cd2Ga2Co | PBE-GGA | relaxed

a = 6.4468 Å, b = 6.4468 Å, c = 4.3987 Å
α = 90.00°, β = 90.00°, γ = 90.00°
Last column: nearest neighbours and their distance in Å.
Atoms (fractional coordinates):
Co 0.0000 0.0000 0.0000  4 Ga 2.45
Co 0.5000 0.5000 0.0000  4 Ga 2.45
Ga 0.3493 0.8493 0.0000  2 Co 2.45, 2 Cd 2.74
Ga 0.8493 0.6507 0.0000  2 Co 2.45, 2 Cd 2.74
Ga 0.6507 0.1507 0.0000  2 Co 2.45, 2 Cd 2.74
Ga 0.1507 0.3493 0.0000  2 Co 2.45, 2 Cd 2.74
Cd 0.1695 0.6695 0.5000  6 Ga 2.74-3.02
Cd 0.6695 0.8305 0.5000  6 Ga 2.74-3.02
Cd 0.8305 0.3305 0.5000  6 Ga 2.74-3.02
Cd 0.3305 0.1695 0.5000  6 Ga 2.74-3.02

Summary:
Energy, eV/atom: -2.800
N(E_F), states/eV/f.u.: 2.99
Space-group type: P4/mbm (127)